(1)
# PmZr2Ga6, optimized geometry, DFT PBE
data_PmZr2Ga6
_chemical_formula_sum 'Pm2 Zr4 Ga12'
_cell_length_a 4.193
_cell_length_b 6.886
_cell_length_c 12.852
_cell_angle_alpha 90.00
_cell_angle_beta 90.00
_cell_angle_gamma 90.00
_symmetry_space_group_name_H-M 'I m m m'
_symmetry_Int_Tables_number 71
_symmetry_space_group_name_Hall '-I 2 2'
loop_
_atom_site_label
_atom_site_fract_x
_atom_site_fract_y
_atom_site_fract_z
Pm1 0.000 0.000 0.000
Zr1 0.000 0.500 0.121
Ga1 0.000 0.183 0.500
Ga2 0.000 0.294 0.310
# * calculated volume: 20.62 A^3/atom
# * formation enthalpy at 0 K: -380 kJ/mol of formula units
# * energy above the lowest structure with this stoichiometry: 87 meV per atom
# * crystal system: orthorhombic

---

(2)
# Co2CuPb, optimized geometry, DFT PBE
data_Co2CuPb
_chemical_formula_sum 'Co4 Cu2 Pb2'
_cell_length_a 8.333
_cell_length_b 3.301
_cell_length_c 4.610
_cell_angle_alpha 90.00
_cell_angle_beta 105.68
_cell_angle_gamma 90.00
_symmetry_space_group_name_H-M 'C 1 2/m 1'
_symmetry_Int_Tables_number 12
loop_
_symmetry_equiv_pos_as_xyz
'x,y,z'
'-x,-y,-z'
'-x,y,-z'
'x,-y,z'
'x+1/2,y+1/2,z'
'-x+1/2,-y+1/2,-z'
'-x+1/2,y+1/2,-z'
'x+1/2,-y+1/2,z'
loop_
_atom_site_label
_atom_site_fract_x
_atom_site_fract_y
_atom_site_fract_z
Co1 0.239 0.000 0.181
Cu1 0.000 0.500 0.000
Pb1 0.000 0.000 0.500
# * calculated volume: 15.26 A^3/atom
# * formation enthalpy at 0 K: 177 kJ/mol of formula units
# * crystal system: monoclinic

---

(3)
# Pr3TmNi8, optimized geometry, DFT PBE
data_Pr3TmNi8
_chemical_formula_sum 'Pr9 Tm3 Ni24'
_cell_length_a 5.1516
_cell_length_b 5.1516
_cell_length_c 25.3256
_cell_angle_alpha 90.00
_cell_angle_beta 90.00
_cell_angle_gamma 120.00
_symmetry_space_group_name_H-M 'R 3 m'
_symmetry_Int_Tables_number 160
_symmetry_space_group_name_Hall 'R 3 -2"'
loop_
_atom_site_label
_atom_site_fract_x
_atom_site_fract_y
_atom_site_fract_z
Pr1 0.0000 0.0000 0.0000
Pr2 0.0000 0.0000 0.1254
Pr3 0.0000 0.0000 0.5020
Tm1 0.0000 0.0000 0.6262
Ni1 0.0000 0.0000 0.3128
Ni2 0.0000 0.0000 0.8134
Ni3 0.0000 0.5000 0.5652
Ni4 0.1684 0.3369 0.3951
# * calculated volume: 16.17 A^3/atom
# * formation enthalpy at 0 K: -380 kJ/mol of formula units
# * crystal system: trigonal

---

(4)
# LaDy2Ta, optimized geometry, DFT PBE
data_LaDy2Ta
_chemical_formula_sum 'La3 Dy6 Ta3'
_cell_length_a 3.2968
_cell_length_b 3.2968
_cell_length_c 35.7601
_cell_angle_alpha 90.00
_cell_angle_beta 90.00
_cell_angle_gamma 120.00
_symmetry_space_group_name_H-M 'R -3 m'
_symmetry_Int_Tables_number 166
_symmetry_space_group_name_Hall '-R 3 2"'
loop_
_atom_site_label
_atom_site_fract_x
_atom_site_fract_y
_atom_site_fract_z
La1 0.0000 0.0000 0.0000
Dy1 0.0000 0.0000 0.4186
Ta1 0.0000 0.0000 0.5000
# * calculated volume: 28.05 A^3/atom
# * formation enthalpy at 0 K: 247 kJ/mol of formula units
# * crystal system: trigonal

---

(5)
# LiCrPt2, optimized geometry, DFT PBE
data_LiCrPt2
_chemical_formula_sum 'Li1 Cr1 Pt2'
_cell_length_a 2.747
_cell_length_b 2.747
_cell_length_c 7.273
_cell_angle_alpha 90.00
_cell_angle_beta 90.00
_cell_angle_gamma 90.00
_symmetry_space_group_name_H-M 'P 4/m m m'
_symmetry_Int_Tables_number 123
_symmetry_space_group_name_Hall '-P 4 2'
loop_
_atom_site_label
_atom_site_fract_x
_atom_site_fract_y
_atom_site_fract_z
Li1 0.000 0.000 0.000
Cr1 0.000 0.000 0.500
Pt1 0.500 0.500 0.257
# * calculated volume: 13.73 A^3/atom
# * formation enthalpy at 0 K: -140 kJ/mol of formula units
# * crystal system: tetragonal

---

(6)
# GaFeIr2, optimized geometry, DFT PBE
data_GaFeIr2
_chemical_formula_sum 'Ga3 Fe3 Ir6'
_cell_length_a 4.1781
_cell_length_b 4.1781
_cell_length_c 12.3172
_cell_angle_alpha 90.00
_cell_angle_beta 90.00
_cell_angle_gamma 120.00
_symmetry_space_group_name_H-M 'R 3 m'
_symmetry_Int_Tables_number 160
_symmetry_space_group_name_Hall 'R 3 -2"'
loop_
_atom_site_label
_atom_site_fract_x
_atom_site_fract_y
_atom_site_fract_z
Ga1 0.0000 0.0000 0.0000
Fe1 0.0000 0.0000 0.7964
Ir1 0.0000 0.0000 0.3775
Ir2 0.0000 0.0000 0.5827
# * calculated volume: 15.52 A^3/atom
# * formation enthalpy at 0 K: 34 kJ/mol of formula units
# * crystal system: trigonal

---

(7)
# SrCaCd6, optimized geometry, DFT PBE
data_SrCaCd6
_chemical_formula_sum 'Sr2 Ca2 Cd12'
_cell_length_a 5.143
_cell_length_b 7.041
_cell_length_c 11.666
_cell_angle_alpha 90.00
_cell_angle_beta 90.00
_cell_angle_gamma 90.00
_symmetry_space_group_name_H-M 'A m m 2'
_symmetry_Int_Tables_number 38
loop_
_symmetry_equiv_pos_as_xyz
'x,y,z'
'-x,-y,z'
'-x,y,z'
'x,-y,z'
'x,y+1/2,z+1/2'
'-x,-y+1/2,z+1/2'
'-x,y+1/2,z+1/2'
'x,-y+1/2,z+1/2'
loop_
_atom_site_label
_atom_site_fract_x
_atom_site_fract_y
_atom_site_fract_z
Sr1 0.000 0.000 0.000
Ca1 0.500 0.000 0.692
Cd1 0.000 0.000 0.514
Cd2 0.000 0.224 0.262
Cd3 0.500 0.000 0.186
Cd4 0.500 0.218 0.428
# * calculated volume: 26.40 A^3/atom
# * formation enthalpy at 0 K: -199 kJ/mol of formula units
# * energy above the lowest structure with this stoichiometry: 6 meV per atom
# * crystal system: orthorhombic

---

(8)
# Y3Th2UP6, optimized geometry, DFT PBE
data_Y3Th2UP6
_chemical_formula_sum 'Y6 Th4 U2 P12'
_cell_length_a 17.643
_cell_length_b 4.048
_cell_length_c 8.098
_cell_angle_alpha 90.00
_cell_angle_beta 103.20
_cell_angle_gamma 90.00
_symmetry_space_group_name_H-M 'C 1 2/m 1'
_symmetry_Int_Tables_number 12
loop_
_symmetry_equiv_pos_as_xyz
'x,y,z'
'-x,-y,-z'
'-x,y,-z'
'x,-y,z'
'x+1/2,y+1/2,z'
'-x+1/2,-y+1/2,-z'
'-x+1/2,y+1/2,-z'
'x+1/2,-y+1/2,z'
loop_
_atom_site_label
_atom_site_fract_x
_atom_site_fract_y
_atom_site_fract_z
Y1 0.000 0.000 0.000
Y2 0.168 0.500 0.333
Th1 0.165 0.500 0.832
U1 0.000 0.000 0.500
P1 0.003 0.500 0.257
P2 0.164 0.000 0.576
P3 0.165 0.000 0.087
# * calculated volume: 23.46 A^3/atom
# * formation enthalpy at 0 K: -1718 kJ/mol of formula units
# * crystal system: monoclinic

---

(9)
# PuPaSnBi, optimized geometry, DFT PBE
data_PuPaSnBi
_chemical_formula_sum 'Pu4 Pa4 Sn4 Bi4'
_cell_length_a 7.616
_cell_length_b 7.616
_cell_length_c 7.616
_cell_angle_alpha 90.00
_cell_angle_beta 90.00
_cell_angle_gamma 90.00
_symmetry_space_group_name_H-M 'F -4 3 m'
_symmetry_Int_Tables_number 216
_symmetry_space_group_name_Hall 'F -4 2 3'
loop_
_atom_site_label
_atom_site_fract_x
_atom_site_fract_y
_atom_site_fract_z
Pu1 0.000 0.000 0.000
Pa1 0.000 0.000 0.500
Sn1 0.250 0.250 0.250
Bi1 0.250 0.250 0.750
# * calculated volume: 27.61 A^3/atom
# * formation enthalpy at 0 K: -56 kJ/mol of formula units
# * crystal system: cubic

---

(10)
# AcLaBiSe, optimized geometry, DFT PBE
data_AcLaBiSe
_chemical_formula_sum 'Ac2 La2 Bi2 Se2'
_cell_length_a 5.225
_cell_length_b 5.225
_cell_length_c 10.801
_cell_angle_alpha 90.00
_cell_angle_beta 90.00
_cell_angle_gamma 90.00
_symmetry_space_group_name_H-M 'P 4/n m m'
_symmetry_Int_Tables_number 129
loop_
_symmetry_equiv_pos_as_xyz
'x,y,z'
'-x,-y,-z'
'-y+1/2,x,z'
'y+1/2,-x,-z'
'-x+1/2,-y+1/2,z'
'x+1/2,y+1/2,-z'
'y,-x+1/2,z'
'-y,x+1/2,-z'
'x+1/2,-y,-z'
'-x+1/2,y,z'
'-y,-x,-z'
'y,x,z'
'-x,y+1/2,-z'
'x,-y+1/2,z'
'y+1/2,x+1/2,-z'
'-y+1/2,-x+1/2,z'
loop_
_atom_site_label
_atom_site_fract_x
_atom_site_fract_y
_atom_site_fract_z
Ac1 0.250 0.250 0.146
La1 0.250 0.750 0.500
Bi1 0.250 0.250 0.692
Se1 0.250 0.750 0.000
# * calculated volume: 36.86 A^3/atom
# * energy relative to the elements, uncorrected: -1.147 eV per atom
# * crystal system: tetragonal

---

(11)
# HfFeP, optimized geometry, DFT PBE
data_HfFeP
_chemical_formula_sum 'Hf6 Fe6 P6'
_cell_length_a 6.262
_cell_length_b 3.673
_cell_length_c 10.773
_cell_angle_alpha 90.00
_cell_angle_beta 90.48
_cell_angle_gamma 90.00
_symmetry_space_group_name_H-M 'P 1 21/m 1'
_symmetry_Int_Tables_number 11
loop_
_symmetry_equiv_pos_as_xyz
'x,y,z'
'-x,-y,-z'
'-x,y+1/2,-z'
'x,-y+1/2,z'
loop_
_atom_site_label
_atom_site_fract_x
_atom_site_fract_y
_atom_site_fract_z
Hf1 0.019 0.250 0.121
Hf2 0.154 0.250 0.421
Hf3 0.481 0.750 0.795
Fe1 0.147 0.250 0.704
Fe2 0.353 0.750 0.039
Fe3 0.495 0.750 0.411
P1 0.229 0.750 0.249
P2 0.277 0.750 0.585
P3 0.278 0.250 0.926
# * calculated volume: 13.76 A^3/atom
# * formation enthalpy at 0 K: -293 kJ/mol of formula units
# * crystal system: monoclinic

---

(12)
# La2Pm2HPb2, optimized geometry, DFT PBE
data_La2Pm2HPb2
_chemical_formula_sum 'La4 Pm4 H2 Pb4'
_cell_length_a 4.768
_cell_length_b 4.768
_cell_length_c 17.924
_cell_angle_alpha 90.00
_cell_angle_beta 90.00
_cell_angle_gamma 90.00
_symmetry_space_group_name_H-M 'I 4/m m m'
_symmetry_Int_Tables_number 139
_symmetry_space_group_name_Hall '-I 4 2'
loop_
_atom_site_label
_atom_site_fract_x
_atom_site_fract_y
_atom_site_fract_z
La1 0.000 0.000 0.179
Pm1 0.000 0.500 0.000
H1 0.000 0.000 0.000
Pb1 0.000 0.000 0.367
# * calculated volume: 29.11 A^3/atom
# * VASP energy: -4.8329 eV/atom
# * crystal system: tetragonal

---

The lowest calculated volume belongs to which entry?
LiCrPt2